1.
Material: NiSbAu
Method: DFT, PBE
State: relaxed

Values from the calculation:
Magnetization (μB/f.u.): 0.0
Fermi-level density of states (states/eV/cell): 1.89
Crystal system: trigonal
E_form (uncorrected) (eV per formula unit): 0.21

a = 3.7427 Å, b = 3.7427 Å, c = 4.7908 Å
α = 90.00°, β = 90.00°, γ = 120.00°
With the nearest neighbours (Å) after each atom.
Space group P3m1 (No. 156)
Asymmetric unit:
Ni 0.0000 0.0000 0.0000 (multiplicity 1)  3 Sb 2.54, 3 Au 2.60
Sb 0.6667 0.3333 0.2795 (multiplicity 1)  3 Ni 2.54
Au 0.3333 0.6667 0.6988 (multiplicity 1)  3 Ni 2.60


2.
Material: NiSb6Au2
Method: DFT, PBE
State: relaxed

Values from the calculation:
Magnetization (μB/f.u.): 0.0
Fermi-level density of states (states/eV/cell): 4.04
Crystal system: trigonal
E_form (uncorrected) (eV per formula unit): -0.47

a = 6.8924 Å, b = 6.8924 Å, c = 5.5730 Å
α = 90.00°, β = 90.00°, γ = 120.00°
With the nearest neighbours (Å) after each atom.
Space group P-31m (No. 162)
Asymmetric unit:
Ni 0.0000 0.0000 0.0000 (multiplicity 1)  6 Sb 2.64
Sb 0.0000 0.3482 0.8046 (multiplicity 6)  1 Ni 2.64, 2 Au 2.82
Au 0.3333 0.6667 0.5000 (multiplicity 2)  6 Sb 2.82


3.
Material: NiSbAu2
Method: DFT, PBE
State: relaxed

Values from the calculation:
Magnetization (μB/f.u.): 0.0
Fermi-level density of states (states/eV/cell): 1.56
Crystal system: monoclinic
E_form (uncorrected) (eV per formula unit): 0.24

a = 4.0908 Å, b = 3.6199 Å, c = 5.2002 Å
α = 90.00°, β = 99.17°, γ = 90.00°
With the nearest neighbours (Å) after each atom.
Space group Pm (No. 6)
Asymmetric unit:
Ni 0.0000 0.0000 0.0000 (multiplicity 1)  2 Sb 2.54, 4 Au 2.67-2.69
Sb 0.5701 0.5000 0.8733 (multiplicity 1)  2 Ni 2.54, 2 Au 2.81-2.84
Au 0.2967 0.5000 0.3360 (multiplicity 1)  2 Ni 2.67, 4 Au 2.80-2.86, 2 Sb 2.81-2.84
Au 0.8373 0.0000 0.4815 (multiplicity 1)  2 Ni 2.67-2.69, 4 Au 2.80-2.86


4.
Material: NiSbAu2
Method: DFT, PBE
State: relaxed

Values from the calculation:
Magnetization (μB/f.u.): 0.0
Fermi-level density of states (states/eV/cell): 5.78
Crystal system: cubic
E_form (uncorrected) (eV per formula unit): 0.48

a = 6.5963 Å, b = 6.5963 Å, c = 6.5963 Å
α = 90.00°, β = 90.00°, γ = 90.00°
With the nearest neighbours (Å) after each atom.
Space group F-43m (No. 216)
Asymmetric unit:
Ni 0.0000 0.0000 0.0000 (multiplicity 4)  4 Sb 2.86, 4 Au 2.86
Sb 0.2500 0.2500 0.2500 (multiplicity 4)  4 Ni 2.86, 4 Au 2.86
Au 0.0000 0.0000 0.5000 (multiplicity 4)  4 Sb 2.86, 4 Au 2.86
Au 0.2500 0.2500 0.7500 (multiplicity 4)  4 Ni 2.86, 4 Au 2.86